1 | MoSe3Cl | PBE | optimized geometry

Computed properties:
D(E_F) in states/eV/f.u.: 4.818
Total magnetization in μB/cell: 0.000
Crystal system: cubic
Space group: Pm-3m, No. 221

extended XYZ file:
```
5
Lattice="4.919 0.000 0.000 0.000 4.919 0.000 0.000 0.000 4.919" Properties=species:S:1:pos:R:3 pbc="T T T"
Mo 0.000 0.000 0.000
Se 0.000 0.000 2.460
Se 0.000 2.460 0.000
Se 2.460 0.000 0.000
Cl 2.460 2.460 2.460
```

=====

2 | MoSe3Cl | PBE | optimized geometry

Computed properties:
D(E_F) in states/eV/f.u.: 3.597
Total magnetization in μB/cell: 3.023
Crystal system: cubic
Space group: Pm-3m, No. 221

extended XYZ file:
```
5
Lattice="4.920 0.000 0.000 0.000 4.920 0.000 0.000 0.000 4.920" Properties=species:S:1:pos:R:3 pbc="T T T"
Mo 0.000 0.000 0.000
Se 0.000 2.460 2.460
Se 2.460 0.000 2.460
Se 2.460 2.460 0.000
Cl 2.460 2.460 2.460
```

=====

How far above the most stable structure does each one sit? In meV/atom: 1 0; 2 1140.

=====

1 | Si2MoCl | PBE | optimized geometry

Computed properties:
D(E_F) in states/eV/f.u.: 2.835
Total magnetization in μB/cell: 0.001
Crystal system: orthorhombic
Space group: Cmm2, No. 35

extended XYZ file:
```
8
Lattice="3.137 0.000 0.000 0.000 5.125 0.000 0.000 0.000 9.377" Properties=species:S:1:pos:R:3 pbc="T T T"
Si 0.000 0.000 0.000
Si 0.000 2.562 1.854
Si 1.568 0.000 1.854
Si 1.568 2.562 0.000
Mo 0.000 2.562 7.401
Mo 1.568 0.000 7.401
Cl 0.000 0.000 5.510
Cl 1.568 2.562 5.510
```

=====

2 | Si2MoCl | PBE | optimized geometry

Computed properties:
D(E_F) in states/eV/f.u.: 2.131
Total magnetization in μB/cell: 0.000
Crystal system: orthorhombic
Space group: Imm2, No. 44

extended XYZ file:
```
8
Lattice="2.721 0.000 0.000 0.000 4.921 0.000 0.000 0.000 10.178" Properties=species:S:1:pos:R:3 pbc="T T T"
Si 0.000 0.000 0.000
Si 0.000 2.461 2.617
Si 1.360 0.000 7.706
Si 1.360 2.461 5.089
Mo 0.000 0.000 5.548
Mo 1.360 2.461 0.459
Cl 0.000 2.461 8.506
Cl 1.360 0.000 3.417
```

=====

How far above the most stable structure does each one sit? In meV/atom: 1 23; 2 0.

=====

1 | Si2MoCl | PBE | optimized geometry

Computed properties:
D(E_F) in states/eV/f.u.: 2.189
Total magnetization in μB/cell: 0.000
Crystal system: orthorhombic
Space group: Cmmm, No. 65

extended XYZ file:
```
8
Lattice="3.434 0.000 0.000 0.000 4.906 0.000 0.000 0.000 7.863" Properties=species:S:1:pos:R:3 pbc="T T T"
Si 0.000 0.000 1.799
Si 0.000 0.000 6.063
Si 1.717 2.453 1.799
Si 1.717 2.453 6.063
Mo 0.000 2.453 0.000
Mo 1.717 0.000 0.000
Cl 0.000 2.453 3.931
Cl 1.717 0.000 3.931
```

=====

2 | Si2MoCl | PBE | optimized geometry

Computed properties:
D(E_F) in states/eV/f.u.: 3.292
Total magnetization in μB/cell: 0.005
Crystal system: orthorhombic
Space group: Immm, No. 71

extended XYZ file:
```
8
Lattice="2.740 0.000 0.000 0.000 4.361 0.000 0.000 0.000 11.340" Properties=species:S:1:pos:R:3 pbc="T T T"
Si 0.000 0.000 2.320
Si 0.000 0.000 9.020
Si 1.370 2.181 3.350
Si 1.370 2.181 7.990
Mo 0.000 2.181 5.670
Mo 1.370 0.000 0.000
Cl 0.000 2.181 0.000
Cl 1.370 0.000 5.670
```

=====

3 | Si2MoCl | PBE | optimized geometry

Computed properties:
D(E_F) in states/eV/f.u.: 2.962
Total magnetization in μB/cell: 0.000
Crystal system: tetragonal
Space group: P4/mmm, No. 123

extended XYZ file:
```
4
Lattice="3.202 0.000 0.000 0.000 3.202 0.000 0.000 0.000 6.661" Properties=species:S:1:pos:R:3 pbc="T T T"
Si 0.000 0.000 1.269
Si 0.000 0.000 5.392
Mo 1.601 1.601 0.000
Cl 1.601 1.601 3.331
```

=====

How far above the most stable structure does each one sit? In meV/atom: 1 96; 2 244; 3 0.

=====

1 | Si2MoCl | PBE | optimized geometry

Computed properties:
D(E_F) in states/eV/f.u.: 2.911
Total magnetization in μB/cell: 0.002
Crystal system: tetragonal
Space group: P4/mmm, No. 123

extended XYZ file:
```
4
Lattice="4.876 0.000 0.000 0.000 4.876 0.000 0.000 0.000 2.713" Properties=species:S:1:pos:R:3 pbc="T T T"
Si 0.000 2.438 0.000
Si 2.438 0.000 0.000
Mo 0.000 0.000 1.356
Cl 2.438 2.438 1.356
```

=====

2 | Si2MoCl | PBE | optimized geometry

Computed properties:
D(E_F) in states/eV/f.u.: 4.573
Total magnetization in μB/cell: 0.003
Crystal system: cubic
Space group: Fm-3m, No. 225

extended XYZ file:
```
16
Lattice="6.350 0.000 0.000 0.000 6.350 0.000 0.000 0.000 6.350" Properties=species:S:1:pos:R:3 pbc="T T T"
Si 1.587 1.587 1.587
Si 1.587 1.587 4.762
Si 1.587 4.762 1.587
Si 1.587 4.762 4.762
Si 4.762 1.587 1.587
Si 4.762 1.587 4.762
Si 4.762 4.762 1.587
Si 4.762 4.762 4.762
Mo 0.000 0.000 0.000
Mo 0.000 3.175 3.175
Mo 3.175 0.000 3.175
Mo 3.175 3.175 0.000
Cl 0.000 0.000 3.175
Cl 0.000 3.175 0.000
Cl 3.175 0.000 0.000
Cl 3.175 3.175 3.175
```

=====

How far above the most stable structure does each one sit? In meV/atom: 1 0; 2 505.